(1)
Below is a relaxed structure of UNbBr, with properties calculated at the PBE level.

Values from the calculation:
Space group: C2/m
Total moment in μB per atom: 0.0000
D(E_F) in states/eV/cell: 10.657
E_form (uncorrected) in meV/atom: -121.9

a b c (Å): 3.446 3.446 11.451
angles (deg): 90.26 90.26 90.00
Fractional positions:
U (0.249, 0.249, 0.448)
U (0.751, 0.751, 0.552)
Nb (0.253, 0.253, 0.712)
Nb (0.747, 0.747, 0.288)
Br (0.245, 0.245, 0.150)
Br (0.755, 0.755, 0.850)

---

(2)
Below is a relaxed structure of NdPu2Ni, with properties calculated at the PBE level.

Values from the calculation:
Space group: R-3m
Total moment in μB per atom: 2.9367
Formation energy in eV/atom: 0.30
D(E_F) in states/eV/cell: 17.635

a b c (Å): 10.354 10.354 10.354
angles (deg): 19.53 19.53 19.53
Fractional positions:
Nd (0.000, 0.000, 0.000)
Pu (0.107, 0.107, 0.107)
Pu (0.893, 0.893, 0.893)
Ni (0.500, 0.500, 0.500)

---

(3)
Below is a relaxed structure of PuF5, with properties calculated at the PBE level.

Values from the calculation:
Space group: Pmma
Total moment in μB per atom: 0.5000
D(E_F) in states/eV/cell: 10.429
E_form (uncorrected) in meV/atom: -2905.4

a b c (Å): 7.761 3.561 6.147
angles (deg): 90.00 90.00 90.00
Fractional positions:
Pu (0.250, 0.000, 0.190)
Pu (0.750, 0.000, 0.810)
F (0.000, 0.000, 0.000)
F (0.087, 0.500, 0.291)
F (0.250, 0.000, 0.519)
F (0.250, 0.500, 0.950)
F (0.413, 0.500, 0.291)
F (0.500, 0.000, 0.000)
F (0.587, 0.500, 0.709)
F (0.750, 0.000, 0.481)
F (0.750, 0.500, 0.050)
F (0.913, 0.500, 0.709)

---

(4)
Below is a relaxed structure of BeCdCo, with properties calculated at the PBE level.

Values from the calculation:
Space group: F-43m
Total moment in μB per atom: 0.0000
Formation energy in eV/atom: 0.42
D(E_F) in states/eV/cell: 1.173

a b c (Å): 3.886 3.886 3.886
angles (deg): 60.00 60.00 60.00
Fractional positions:
Be (0.000, 0.000, 0.000)
Cd (0.250, 0.250, 0.250)
Co (0.750, 0.750, 0.750)

---

(5)
Below is a relaxed structure of NbIrCI, with properties calculated at the PBE level.

Values from the calculation:
Space group: Pm
Total moment in μB per atom: 0.0000
D(E_F) in states/eV/cell: 2.363
E_form (uncorrected) in meV/atom: 279.3

a b c (Å): 3.553 3.916 6.392
angles (deg): 90.00 105.54 90.00
Fractional positions:
Nb (0.000, 0.000, 0.000)
Ir (0.591, 0.500, 0.188)
C (0.586, 0.000, 0.181)
I (0.841, 0.500, 0.654)

---

(6)
Below is a relaxed structure of Cu2SnI6, with properties calculated at the PBE level.

Values from the calculation:
Space group: C2/c
Total moment in μB per atom: 0.0000
D(E_F) in states/eV/cell: 24.623
E_form (uncorrected) in meV/atom: -202.9

a b c (Å): 9.638 9.638 7.459
angles (deg): 98.38 98.38 84.61
Fractional positions:
Cu (0.101, 0.259, 0.323)
Cu (0.259, 0.101, 0.823)
Cu (0.741, 0.899, 0.177)
Cu (0.899, 0.741, 0.677)
Sn (0.395, 0.605, 0.750)
Sn (0.605, 0.395, 0.250)
I (0.043, 0.202, 0.627)
I (0.113, 0.625, 0.871)
I (0.202, 0.043, 0.127)
I (0.284, 0.455, 0.366)
I (0.375, 0.887, 0.629)
I (0.455, 0.284, 0.866)
I (0.545, 0.716, 0.134)
I (0.625, 0.113, 0.371)
I (0.716, 0.545, 0.634)
I (0.798, 0.957, 0.873)
I (0.887, 0.375, 0.129)
I (0.957, 0.798, 0.373)

---

(7)
Below is a relaxed structure of AlCu2Rh2, with properties calculated at the PBE level.

Values from the calculation:
Space group: P4/mbm
Total moment in μB per atom: 0.0000
Formation energy in eV/atom: -0.06
D(E_F) in states/eV/cell: 12.457

a b c (Å): 6.522 6.522 3.257
angles (deg): 90.00 90.00 90.00
Fractional positions:
Al (0.000, 0.000, 0.000)
Al (0.500, 0.500, 0.000)
Cu (0.130, 0.370, 0.000)
Cu (0.370, 0.870, 0.000)
Cu (0.630, 0.130, 0.000)
Cu (0.870, 0.630, 0.000)
Rh (0.169, 0.669, 0.500)
Rh (0.331, 0.169, 0.500)
Rh (0.669, 0.831, 0.500)
Rh (0.831, 0.331, 0.500)

---

(8)
Below is a relaxed structure of TcSnGeRh2, with properties calculated at the PBE level.

Values from the calculation:
Space group: P4/mmm
Total moment in μB per atom: 0.0000
Formation energy in eV/atom: 0.76
D(E_F) in states/eV/cell: 4.907

a b c (Å): 4.752 4.752 4.736
angles (deg): 90.00 90.00 90.00
Fractional positions:
Tc (0.000, 0.000, 0.000)
Sn (0.500, 0.500, 0.500)
Ge (0.000, 0.000, 0.500)
Rh (0.000, 0.500, 0.000)
Rh (0.500, 0.000, 0.000)